Below is Na4Cr3GeO8 after structural relaxation, with properties calculated at the GGA+U level.

The structure in POSCAR format:
```
Na4Cr3GeO8
1.0
5.377 -3.042 0.000
5.377 3.042 0.000
-3.533 0.000 5.372
Na Cr Ge O
4 3 1 8
Direct
0.000 0.000 0.000
0.000 0.500 0.000
0.500 0.000 0.000
0.500 0.500 0.000
0.000 0.000 0.500
0.000 0.500 0.500
0.500 0.000 0.500
0.500 0.500 0.500
0.228 0.228 0.692
0.251 0.733 0.701
0.267 0.749 0.299
0.282 0.282 0.306
0.718 0.718 0.694
0.733 0.251 0.701
0.749 0.267 0.299
0.772 0.772 0.308
```

volume = 176 Å³/cell
magnetic moment = 9.9 μB/cell
energy = -0.231 hartree per atom